Entry 1:
A plane-wave DFT calculation with PBE was carried out for a geometry-optimized AsSe4Cl structure.

The energy is -16.84 eV per formula unit. Its uncorrected formation energy is 0.5998 eV/atom.

The structure belongs to space group F-43m (No. 216); the cell edges are 8.000, 8.000 and 8.000 Å and the angles 90.00°, 90.00° and 90.00°. Symmetry generates all atoms from As at (0.000, 0.000, 0.000), Se at (0.128, 0.128, 0.372) and Cl at (0.250, 0.250, 0.750).

---

Entry 2:
A plane-wave DFT calculation with PBE was carried out for a geometry-optimized HgI2O6 structure.

Its energy above the most stable polymorph in this dataset is 0.081 eV/atom. The energy is -35.40 eV per formula unit. Its uncorrected formation energy is -0.2500 eV/atom.

The structure belongs to space group C2/m (No. 12); the cell edges are 10.116, 4.037 and 7.983 Å and the angles 90.00°, 112.72° and 90.00°. Symmetry generates all atoms from Hg at (0.000, 0.000, 0.000), I at (0.196, 0.000, 0.681), O at (0.031, 0.000, 0.727), O at (0.158, 0.500, 0.091) and O at (0.207, 0.500, 0.658).

---

Entry 3:
A plane-wave DFT calculation with PBE was carried out for a geometry-optimized GaFe14Re structure.

For the calculated formation energy, the calculation gives 0 kJ per mole of atoms. The energy is -133.88 eV per formula unit.

The structure belongs to space group Cmmm (No. 65); the cell edges are 5.827, 8.060 and 8.059 Å and the angles 90.00°, 90.00° and 90.00°. Symmetry generates all atoms from Ga at (0.000, 0.000, 0.000), Fe at (0.000, 0.000, 0.500), Fe at (0.000, 0.249, 0.251), Fe at (0.000, 0.500, 0.500), Fe at (0.249, 0.500, 0.256), Fe at (0.250, 0.250, 0.000), Fe at (0.250, 0.250, 0.500) and Re at (0.000, 0.500, 0.000).

---

Entry 4:
A plane-wave DFT calculation with PBE was carried out for a geometry-optimized Sr2ReHgW structure.

For the calculated formation energy, the calculation gives 192 kJ per mole of atoms. The energy is -19.14 eV per formula unit.

The structure belongs to space group P4/mmm (No. 123); the cell edges are 5.891, 5.891 and 5.072 Å and the angles 90.00°, 90.00° and 90.00°. Symmetry generates all atoms from Sr at (0.000, 0.500, 0.000), Re at (0.000, 0.000, 0.500), Hg at (0.000, 0.000, 0.000) and W at (0.500, 0.500, 0.500).

---

Entry 5:
A plane-wave DFT calculation with PBE was carried out for a geometry-optimized Sr2PmErS4 structure.

The energy is -45.45 eV per formula unit. Its uncorrected formation energy is -2.0330 eV/atom.

The structure belongs to space group P2/m (No. 10); the cell edges are 7.040, 4.062 and 7.196 Å and the angles 90.00°, 108.98° and 90.00°. Symmetry generates all atoms from Sr at (0.000, 0.000, 0.000), Sr at (0.500, 0.500, 0.000), Pm at (0.000, 0.500, 0.500), Er at (0.500, 0.000, 0.500), S at (0.253, 0.000, 0.734) and S at (0.264, 0.500, 0.271).

---

Entry 6:
A plane-wave DFT calculation with PBE was carried out for a geometry-optimized BeSiPt2 structure.

The energy is -23.81 eV per formula unit. Its uncorrected formation energy is -0.6449 eV/atom.

The structure belongs to space group Pmm2 (No. 25); the cell edges are 3.721, 3.730 and 4.010 Å and the angles 90.00°, 90.00° and 90.00°. Symmetry generates all atoms from Be at (0.000, 0.000, 0.000), Si at (0.500, 0.500, 0.002), Pt at (0.000, 0.500, 0.633) and Pt at (0.500, 0.000, 0.368).

---

Entry 7:
A plane-wave DFT calculation with PBE was carried out for a geometry-optimized PrNd6Ho4 structure.

Its energy above the most stable polymorph in this dataset is 0.058 eV/atom. For the calculated formation energy, the calculation gives 34 kJ per mole of atoms. The energy is -47.82 eV per formula unit.

The structure belongs to space group I-42m (No. 121); the cell edges are 7.618, 7.618 and 13.604 Å and the angles 90.00°, 90.00° and 90.00°. Symmetry generates all atoms from Pr at (0.000, 0.000, 0.000), Nd at (0.000, 0.500, 0.000), Nd at (0.231, 0.231, 0.188) and Ho at (0.162, 0.162, 0.420).

---

Q: The highest energy belongs to which entry?
A: AsSe4Cl

---

Q: What is the energy in the seventh record?
A: -47.82 eV per formula unit